Entry 1:
A plane-wave DFT calculation with PBE was carried out for crystalline AlFe2H at its relaxed geometry.

The structure in POSCAR format:
```
AlFe2H
1.0
0.000 2.769 2.769
2.769 0.000 2.769
2.769 2.769 0.000
Al Fe H
1 2 1
Direct
0.000 0.000 0.000
0.250 0.250 0.250
0.750 0.750 0.750
0.500 0.500 0.500
```

Properties
crystal system	cubic
E above lowest polymorph	0.669	eV per atom
M_tot	0.8923	μB per atom
calculated volume	42.5	Å³/f.u.



Entry 2:
A plane-wave DFT calculation with PBE was carried out for crystalline TbGdCuPb at its relaxed geometry.

The structure in POSCAR format:
```
TbGdCuPb
1.0
0.000 3.702 3.702
3.702 0.000 3.702
3.702 3.702 0.000
Tb Gd Cu Pb
1 1 1 1
Direct
0.000 0.000 0.000
0.500 0.500 0.500
0.250 0.250 0.250
0.750 0.750 0.750
```

Properties
crystal system	cubic
M_tot	1.9752	μB per atom
formation energy	-0.320	eV/atom
calculated volume	101.4	Å³/f.u.